DFT (PBE) results for PuThSb2Pd2 after structural relaxation.

Cell lengths 4.6036, 4.6036, 7.8823 Å; angles 90.00, 90.00, 120.00 degrees
Last column: magnetic moment on the atom in μB.
Element x y z (fractional)
Pu: 0.0000 0.0000 0.5000  5.39
Th: 0.0000 0.0000 0.0000  0.10
Sb: 0.6667 0.3333 0.7337  -0.04
Sb: 0.3333 0.6667 0.2663  -0.04
Pd: 0.6667 0.3333 0.2235  0.00
Pd: 0.3333 0.6667 0.7765  0.00

Space group = P-3m1 (164)
E_form (uncorrected) = -828 meV/atom

DFT (PBE) results for Pu2TlSb2Pd2 after structural relaxation.

Cell lengths 4.7809, 4.7809, 9.3636 Å; angles 75.21, 75.21, 60.00 degrees
Last column: magnetic moment on the atom in μB.
Element x y z (fractional)
Pu: 0.1405 0.1405 0.5785  5.13
Pu: 0.8595 0.8595 0.4215  5.13
Tl: 0.0000 0.0000 0.0000  -0.01
Sb: 0.7416 0.7416 0.7753  -0.09
Sb: 0.2584 0.2584 0.2247  -0.09
Pd: 0.5560 0.5560 0.3320  -0.09
Pd: 0.4440 0.4440 0.6680  -0.09

Space group = R-3m (166)
E_form (uncorrected) = -391 meV/atom

DFT (PBE) results for PuSc3Pd4 after structural relaxation.

Cell lengths 4.7205, 4.7219, 8.4356 Å; angles 73.76, 73.74, 60.01 degrees
Last column: magnetic moment on the atom in μB.
Element x y z (fractional)
Sc: 0.2478 0.2480 0.2569  0.09
Sc: 0.7522 0.7520 0.7431  0.09
Sc: 0.5000 0.5000 0.5000  0.01
Pd: 0.8700 0.8703 0.3893  0.01
Pd: 0.3853 0.3851 0.8435  -0.01
Pd: 0.1300 0.1297 0.6107  0.01
Pd: 0.6147 0.6149 0.1565  -0.01
Pu: 0.0000 0.0000 0.0000  5.24

DFT formation energy = -737 meV/atom
Space group = R-3m (166)

Table of total magnetization (μB/cell), in record order: 5.8 10.0 5.8
Table of final energy (eV per formula unit), in record order: -45.35 -52.40 -59.99